# TlAg3Te

A relaxed structure of TlAg3Te (PBE, the Alexandria database).

Values from the calculation:
- ΔE_f (raw) (kJ per mole of atoms) = 34.6
- SG = Pm-3m, No. 221
- total magnetic moment (μB per atom) = 0.000
- relative energy among the computed polymorphs (eV/atom) = 0.000

```
TlAg3Te
1.0
-4.386 2.961 -1.118
-1.565 -3.689 -3.633
-2.751 -2.622 3.849
Tl Ag Te
1 3 1
Direct
0.500 0.500 0.500 Tl
0.500 0.000 0.000 Ag
0.000 0.000 0.500 Ag
0.000 0.500 0.000 Ag
0.000 0.000 0.000 Te
```